Entry 1:
First-principles (GGA-PBEsol) data for TmBeCu4 after structural relaxation, as listed in the Alexandria database.

Output
Uncorrected energy = -4.580 eV/atom
Density = 9.25 g cm⁻³
DFT formation energy = -1.24 eV/f.u.

Geometry as POSCAR:
```
TmBeCu4
1.0
2.431 1.404 3.787
-2.431 1.404 3.787
0.000 -2.807 3.787
Tm Be Cu
1 1 4
Direct
0.000 0.000 0.000 Tm
0.618 0.618 0.618 Be
0.125 0.620 0.620 Cu
0.253 0.253 0.253 Cu
0.620 0.125 0.620 Cu
0.620 0.620 0.125 Cu
```

---

Entry 2:
First-principles (GGA-PBEsol) data for BeCuW after structural relaxation, as listed in the Alexandria database.

Output
Uncorrected energy = -6.101 eV/atom
Density = 9.76 g cm⁻³
Polymorph energy (0 for the lowest one) = 944.0 meV per atom
DFT formation energy = 3.84 eV/f.u.

Geometry as POSCAR:
```
BeCuW
1.0
0.000 2.794 2.794
2.794 0.000 2.794
2.794 2.794 0.000
Be Cu W
1 1 1
Direct
0.000 0.000 0.000 Be
0.500 0.500 0.500 Cu
0.750 0.750 0.750 W
```

---

Q: Number 1 is which compound?
A: TmBeCu4

---

Q: uncorrected energy of number 2 (BeCuW)?
A: -6.101 eV/atom

---

Q: What is the formula in the second record?
A: BeCuW